Entry from the Alexandria database: AcNdRh after structural relaxation (GGA-PBE).

Calculated values
Magnetization, μB per formula unit: 0.00
Calculated formation energy, eV/atom: -0.415
Symmetry: No. 216
Calculated total energy, eV/f.u.: -17.5

a = 5.0888 Å, b = 5.0888 Å, c = 5.0888 Å
α = 60.00°, β = 60.00°, γ = 60.00°
With the nearest neighbours (Å) after each atom.
Element x y z (fractional)
Nd1 0.5000 0.5000 0.5000  4 Rh 3.12
Ac1 0.0000 0.0000 0.0000  4 Rh 3.12
Rh1 0.2500 0.2500 0.2500  4 Ac 3.12, 4 Nd 3.12

***

Entry from the Alexandria database: HgPb2Au after structural relaxation (GGA-PBE).

Calculated values
Magnetization, μB per formula unit: 0.00
Calculated formation energy, eV/atom: 0.040
Symmetry: No. 122
Calculated total energy, eV/f.u.: -10.8

a = 8.3068 Å, b = 8.3068 Å, c = 6.7200 Å
α = 51.82°, β = 51.82°, γ = 90.00°
With the nearest neighbours (Å) after each atom.
Element x y z (fractional)
Pb1 0.3750 0.4007 0.7500  2 Au 2.91, 2 Hg 3.20
Pb2 0.5993 0.1250 0.2500  2 Au 2.91, 2 Hg 3.20
Pb3 0.8750 0.8493 0.7500  2 Au 2.91, 2 Hg 3.20
Pb4 0.1507 0.6250 0.2500  2 Au 2.91, 2 Hg 3.20
Au1 0.2500 0.7500 0.5000  4 Pb 2.91
Au2 0.5000 0.5000 0.0000  4 Pb 2.91
Hg1 0.0000 0.0000 0.0000  4 Pb 3.20, 2 Au 3.26
Hg2 0.7500 0.2500 0.5000  4 Pb 3.20, 2 Au 3.26

***

Entry from the Alexandria database: NaPPbO4 after structural relaxation (GGA-PBE).

Calculated values
ΔE_f (raw), eV per atom: -1.990
Magnetization, μB per formula unit: 0.00
Symmetry: No. 11
Calculated total energy, eV/f.u.: -44.2

a = 5.4744 Å, b = 5.5573 Å, c = 7.5691 Å
α = 90.00°, β = 116.08°, γ = 90.00°
With the nearest neighbours (Å) after each atom.
Element x y z (fractional)
O1 0.3248 0.7500 0.5282  1 P 1.55
O2 0.0611 0.5212 0.2119  1 P 1.58
O3 0.4829 0.7500 0.2481  1 P 1.54
O4 0.9389 0.0212 0.7881  1 P 1.58
O5 0.6752 0.2500 0.4718  1 P 1.55
O6 0.0611 0.9788 0.2119  1 P 1.58
O7 0.5171 0.2500 0.7519  1 P 1.54
O8 0.9389 0.4788 0.7881  1 P 1.58
P1 0.7554 0.2500 0.6952  4 O 1.54-1.58
P2 0.2446 0.7500 0.3048  4 O 1.54-1.58
Pb1 0.3254 0.2500 0.1080  5 O 2.45-2.73
Pb2 0.6746 0.7500 0.8920  5 O 2.45-2.73
Na1 0.8822 0.7500 0.5287  4 O 2.28-2.42
Na2 0.1178 0.2500 0.4713  4 O 2.28-2.42

***

Entry from the Alexandria database: BaTiSbTe2 after structural relaxation (GGA-PBE).

Calculated values
ΔE_f (raw), eV per atom: 0.899
Magnetization, μB per formula unit: 1.46
Symmetry: No. 123
Calculated total energy, eV/f.u.: -15.7

a = 6.3121 Å, b = 6.3121 Å, c = 6.1317 Å
α = 90.00°, β = 90.00°, γ = 90.00°
With the nearest neighbours (Å) after each atom.
Element x y z (fractional)
Te1 0.5000 0.0000 0.0000  2 Ba 3.16
Te2 0.0000 0.5000 0.0000  2 Ba 3.16
Sb1 0.0000 0.0000 0.5000  2 Ba 3.07
Ti1 0.5000 0.5000 0.5000  8 Te 4.40, 4 Sb 4.46
Ba1 0.0000 0.0000 0.0000  2 Sb 3.07, 4 Te 3.16

***

Entry from the Alexandria database: KBe2In after structural relaxation (GGA-PBE).

Calculated values
Magnetization, μB per formula unit: 0.00
Calculated formation energy, eV/atom: 0.298
Symmetry: No. 160
Calculated total energy, eV/f.u.: -10.1

a = 6.7665 Å, b = 6.7665 Å, c = 6.7665 Å
α = 36.04°, β = 36.04°, γ = 36.04°
With the nearest neighbours (Å) after each atom.
Element x y z (fractional)
Be1 0.2579 0.2579 0.2579  3 Be 2.42, 3 In 2.46
Be2 0.9279 0.9279 0.9279  3 Be 2.42, 3 In 2.48
In1 0.5659 0.5659 0.5659  6 Be 2.46-2.48
K1 0.7484 0.7484 0.7484  4 Be 3.40-3.79, 4 In 3.46-3.75

***

Entry from the Alexandria database: MnCr2Ir after structural relaxation (GGA-PBE).

Calculated values
Magnetization, μB per formula unit: 0.00
Calculated formation energy, eV/atom: 0.143
Symmetry: No. 166
Calculated total energy, eV/f.u.: -36.7

a = 8.4210 Å, b = 8.4210 Å, c = 8.4210 Å
α = 17.98°, β = 17.98°, γ = 17.98°
With the nearest neighbours (Å) after each atom.
Element x y z (fractional)
Mn1 0.7500 0.7500 0.7500  6 Cr 2.49, 6 Mn 2.63
Cr1 0.0039 0.0039 0.0039  3 Mn 2.49, 6 Cr 2.63, 3 Ir 2.65
Cr2 0.4961 0.4961 0.4961  3 Mn 2.49, 6 Cr 2.63, 3 Ir 2.65
Ir1 0.2500 0.2500 0.2500  6 Ir 2.63, 6 Cr 2.65

***

Entry from the Alexandria database: Li2CdP after structural relaxation (GGA-PBE).

Calculated values
Magnetization, μB per formula unit: 0.00
Calculated formation energy, eV/atom: -0.245
Symmetry: No. 8
Calculated total energy, eV/f.u.: -11.1

a = 4.6956 Å, b = 4.6956 Å, c = 5.0661 Å
α = 85.83°, β = 85.83°, γ = 36.80°
With the nearest neighbours (Å) after each atom.
Element x y z (fractional)
Li1 0.9987 0.9987 0.9821  1 Li 2.59, 2 P 2.62, 3 Cd 2.68-2.86
Li2 0.7571 0.7571 0.7290  3 P 2.59-2.65, 1 Li 2.59
Cd1 0.2531 0.2531 0.2328  7 Li 2.68-2.95, 1 P 2.78, 2 Cd 2.96
P1 0.4911 0.4911 0.5561  5 Li 2.59-2.65, 1 Cd 2.78

***

Entry from the Alexandria database: NaH3Pd after structural relaxation (GGA-PBE).

Calculated values
Magnetization, μB per formula unit: 0.00
Symmetry: No. 62
Calculated total energy, eV/f.u.: -17.3

a = 5.6108 Å, b = 5.6155 Å, c = 6.5575 Å
α = 90.00°, β = 90.00°, γ = 90.00°
With the nearest neighbours (Å) after each atom.
Element x y z (fractional)
Na1 0.0000 0.0000 0.5000  6 H 2.41-2.57
Na2 0.5000 0.5000 0.0000  6 H 2.41-2.57
Na3 0.5000 0.0000 0.0000  6 H 2.41-2.57
Na4 0.0000 0.5000 0.5000  6 H 2.41-2.57
H1 0.7717 0.7500 0.2735  2 Pd 1.74-1.91
H2 0.7283 0.2500 0.7735  2 Pd 1.74-1.91
H3 0.5877 0.5582 0.6184  2 Pd 1.78-1.79, 1 H 1.95
H4 0.0877 0.5582 0.8816  2 Pd 1.78-1.79, 1 H 1.95
H5 0.9123 0.0582 0.1184  2 Pd 1.78-1.79, 1 H 1.95
H6 0.4123 0.0582 0.3816  2 Pd 1.78-1.79, 1 H 1.95
H7 0.5877 0.9418 0.6184  2 Pd 1.78-1.79, 1 H 1.95
H8 0.4123 0.4418 0.3816  2 Pd 1.78-1.79, 1 H 1.95
H9 0.9123 0.4418 0.1184  2 Pd 1.78-1.79, 1 H 1.95
H10 0.2717 0.7500 0.2265  2 Pd 1.74-1.91
H11 0.0877 0.9418 0.8816  2 Pd 1.78-1.79, 1 H 1.95
H12 0.2283 0.2500 0.7265  2 Pd 1.74-1.91
Pd1 0.5211 0.2500 0.5767  6 H 1.74-1.91
Pd2 0.9789 0.7500 0.0767  6 H 1.74-1.91
Pd3 0.4789 0.7500 0.4233  6 H 1.74-1.91
Pd4 0.0211 0.2500 0.9233  6 H 1.74-1.91